The following is a GGA-PBE calculation of a geometry-optimized LaEuBiI structure, from Alexandria.

Cell and atoms, written as POSCAR:
```
LaEuBiI
1.0
0.0000 4.0325 4.0325
4.0325 0.0000 4.0325
4.0325 4.0325 0.0000
La Eu Bi I
1 1 1 1
Direct
0.0000 0.0000 0.0000 La
0.5000 0.5000 0.5000 Eu
0.7500 0.7500 0.7500 Bi
0.2500 0.2500 0.2500 I
```

Values from the calculation:
total magnetic moment = 7.9 μB/f.u.
space group = F-43m, No. 216
formation energy (no corrections) = -0.99 eV/atom
D(E_F) = 1.89 states/eV/f.u.